Entry from Alexandria: a relaxed structure of SmHo3Pd6 (GGA-PBE).

## Properties
DFT formation energy: -0.859 eV/atom
mass density: 10.29 g/cm³
magnetic moment: 0.00 μB/cell
D(E_F): 9.6 states/eV per cell
crystal system: monoclinic

Cell: 4.5756 8.1314 11.4410 Å, 103.30 90.00 90.00°
With the nearest neighbours (Å) after each atom.
Sites, in units of the cell vectors:
Sm  0.2500  0.9039  0.5944  7 Pd 2.88-3.14
Sm  0.7500  0.0961  0.4056  7 Pd 2.88-3.14
Ho  0.2500  0.4839  0.3764  6 Pd 2.84-3.11
Ho  0.7500  0.5161  0.6236  6 Pd 2.84-3.11
Ho  0.2500  0.3628  0.8155  8 Pd 2.71-2.96
Ho  0.7500  0.6372  0.1845  8 Pd 2.71-2.96
Ho  0.2500  0.8102  0.0061  7 Pd 2.87-3.06
Ho  0.7500  0.1898  0.9939  7 Pd 2.87-3.06
Pd  0.2500  0.4383  0.0809  3 Pd 2.89-3.21, 5 Ho 2.89-3.06
Pd  0.7500  0.5617  0.9191  3 Pd 2.89-3.21, 5 Ho 2.89-3.06
Pd  0.2500  0.1448  0.1833  6 Pd 2.73-2.98, 1 Ho 3.00
Pd  0.7500  0.8552  0.8167  6 Pd 2.73-2.98, 1 Ho 3.00
Pd  0.2500  0.6658  0.7528  4 Ho 2.72-2.87, 3 Pd 2.76-3.02, 1 Sm 2.94
Pd  0.7500  0.3342  0.2472  4 Ho 2.72-2.87, 3 Pd 2.76-3.02, 1 Sm 2.94
Pd  0.2500  0.2758  0.5604  4 Ho 2.84-2.99, 3 Sm 3.05-3.14, 2 Pd 3.13
Pd  0.7500  0.7242  0.4396  4 Ho 2.84-2.99, 3 Sm 3.05-3.14, 2 Pd 3.13
Pd  0.2500  0.8454  0.2927  4 Ho 2.94-3.29, 5 Pd 2.98-3.13, 2 Sm 3.14
Pd  0.7500  0.1546  0.7073  4 Ho 2.94-3.29, 5 Pd 2.98-3.13, 2 Sm 3.14
Pd  0.2500  0.0438  0.8500  4 Ho 2.71-2.91, 3 Pd 2.73-3.02, 1 Sm 2.88
Pd  0.7500  0.9562  0.1500  4 Ho 2.71-2.91, 3 Pd 2.73-3.02, 1 Sm 2.88